1.
First-principles (GGA-PBE) data for a geometry-optimized TaCu2Cl structure, as listed in Alexandria.

The structure belongs to space group R3m (No. 160, hexagonal axes); the cell edges are 2.9711, 2.9711 and 28.3788 Å and the angles 90.00°, 90.00° and 120.00°. Symmetry generates all atoms from Ta at (0.0000, 0.0000, 0.0000), Cu at (0.0000, 0.0000, 0.4730), Cu at (0.0000, 0.0000, 0.7423) and Cl at (0.0000, 0.0000, 0.2685).

The calculation puts the uncorrected formation energy at 0.02 eV/atom. As for the density of states at the Fermi level: 12.52 states/eV/cell. Its total energy is -65.4 eV per cell. Its energy above the most stable polymorph in this dataset is 0.0 kJ per mole of atoms. For the volume, the calculation gives 216.9 Å³/cell.

2.
First-principles (GGA-PBE) data for a geometry-optimized NbAlTe2 structure, as listed in Alexandria.

The structure belongs to space group I-42d (No. 122); the cell edges are 6.4545, 6.4545 and 12.4191 Å and the angles 90.00°, 90.00° and 90.00°. Symmetry generates all atoms from Nb at (0.0000, 0.0000, 0.0000), Al at (0.0000, 0.0000, 0.5000) and Te at (0.2491, 0.2500, 0.6250).

The calculation puts the uncorrected formation energy at 0.24 eV/atom. As for the density of states at the Fermi level: 8.08 states/eV/cell. Its total energy is -76.6 eV per cell. For the volume, the calculation gives 517.4 Å³/cell.

3.
First-principles (GGA-PBE) data for a geometry-optimized SbSe structure, as listed in Alexandria.

The structure belongs to space group P6_3/mmc (No. 194); the cell edges are 5.0268, 5.0268 and 6.0247 Å and the angles 90.00°, 90.00° and 120.00°. Symmetry generates all atoms from Sb at (0.3333, 0.6667, 0.2500) and Se at (0.3333, 0.6667, 0.7500).

The calculation puts the uncorrected formation energy at 0.14 eV/atom. As for the density of states at the Fermi level: 3.61 states/eV/cell. Its total energy is -14.6 eV per cell. For the volume, the calculation gives 131.8 Å³/cell.

4.
First-principles (GGA-PBE) data for a geometry-optimized LiCaMn2 structure, as listed in Alexandria.

The structure belongs to space group P4/mmm (No. 123); the cell edges are 3.3550, 3.3550 and 7.1577 Å and the angles 90.00°, 90.00° and 90.00°. Symmetry generates all atoms from Li at (0.0000, 0.0000, 0.0000), Ca at (0.0000, 0.0000, 0.5000) and Mn at (0.5000, 0.5000, 0.1902).

As for the density of states at the Fermi level: 4.51 states/eV/cell. Its total energy is -20.1 eV per cell. Its energy above the most stable polymorph in this dataset is 20.1 kJ per mole of atoms. For the formation enthalpy at 0 K, the calculation gives 12.38 kcal/mol of atoms. For the volume, the calculation gives 80.6 Å³/cell.

5.
First-principles (GGA-PBE) data for a geometry-optimized Na4CuIr3S8 structure, as listed in Alexandria.

The structure belongs to space group R-3m (No. 166, hexagonal axes); the cell edges are 7.3319, 7.3319 and 18.7952 Å and the angles 90.00°, 90.00° and 120.00°. Symmetry generates all atoms from Na at (0.0000, 0.0000, 0.0000), Na at (0.0000, 0.5000, 0.0000), Cu at (0.0000, 0.0000, 0.5000), Ir at (0.0000, 0.5000, 0.5000), S at (0.0000, 0.0000, 0.2283) and S at (0.0081, 0.5041, 0.7705).

The calculation puts the uncorrected formation energy at -0.61 eV/atom. As for the density of states at the Fermi level: 21.05 states/eV/cell. Its total energy is -236.1 eV per cell. For the volume, the calculation gives 875.0 Å³/cell.

6.
First-principles (GGA-PBE) data for a geometry-optimized Ca2YSe structure, as listed in Alexandria.

The structure belongs to space group R3m (No. 160, hexagonal axes); the cell edges are 3.9163, 3.9163 and 29.9313 Å and the angles 90.00°, 90.00° and 120.00°. Symmetry generates all atoms from Ca at (0.0000, 0.0000, 0.0000), Ca at (0.0000, 0.0000, 0.2222), Y at (0.0000, 0.0000, 0.4552) and Se at (0.0000, 0.0000, 0.7280).

The calculation puts the uncorrected formation energy at -0.85 eV/atom. As for the density of states at the Fermi level: 8.17 states/eV/cell. Its total energy is -52.0 eV per cell. Its energy above the most stable polymorph in this dataset is 0.0 kJ per mole of atoms. For the volume, the calculation gives 397.6 Å³/cell.

7.
First-principles (GGA-PBE) data for a geometry-optimized LaBI2 structure, as listed in Alexandria.

The structure belongs to space group I-42d (No. 122); the cell edges are 5.0741, 5.0741 and 20.6482 Å and the angles 90.00°, 90.00° and 90.00°. Symmetry generates all atoms from La at (0.0000, 0.0000, 0.0000), B at (0.0000, 0.0000, 0.5000) and I at (0.2386, 0.2500, 0.6250).

The calculation puts the uncorrected formation energy at 0.38 eV/atom. As for the density of states at the Fermi level: 15.09 states/eV/cell. Its total energy is -52.8 eV per cell. Its energy above the most stable polymorph in this dataset is 12.1 kJ per mole of atoms. For the volume, the calculation gives 531.6 Å³/cell.

8.
First-principles (GGA-PBE) data for a geometry-optimized Rb2Ga17 structure, as listed in Alexandria.

The structure belongs to space group R-3m (No. 166, hexagonal axes); the cell edges are 9.9522, 9.9522 and 14.4205 Å and the angles 90.00°, 90.00° and 120.00°. Symmetry generates all atoms from Rb at (0.0000, 0.0000, 0.1558), Ga at (0.0000, 0.0000, 0.4026), Ga at (0.0000, 0.2863, 0.5000), Ga at (0.0000, 0.5000, 0.0000) and Ga at (0.0037, 0.5018, 0.3496).

As for the density of states at the Fermi level: 27.51 states/eV/cell. Its total energy is -161.1 eV per cell. For the formation enthalpy at 0 K, the calculation gives -0.36 kcal/mol of atoms. For the volume, the calculation gives 1236.9 Å³/cell.

9.
First-principles (GGA-PBE) data for a geometry-optimized Zr2NiAg structure, as listed in Alexandria.

The structure belongs to space group Pmmm (No. 47); the cell edges are 3.0485, 3.2612 and 7.4457 Å and the angles 90.00°, 90.00° and 90.00°. Symmetry generates all atoms from Zr at (0.0000, 0.0000, 0.2214), Ni at (0.5000, 0.5000, 0.0000) and Ag at (0.5000, 0.5000, 0.5000).

As for the density of states at the Fermi level: 4.85 states/eV/cell. Its total energy is -26.4 eV per cell. For the formation enthalpy at 0 K, the calculation gives -3.74 kcal/mol of atoms. For the volume, the calculation gives 74.0 Å³/cell.

10.
First-principles (GGA-PBE) data for a geometry-optimized La5Y4Tl4 structure, as listed in Alexandria.

The structure belongs to space group I4/m (No. 87); the cell edges are 12.8846, 12.8846 and 5.1245 Å and the angles 90.00°, 90.00° and 90.00°. Symmetry generates all atoms from La at (0.0000, 0.0000, 0.0000), La at (0.1086, 0.8060, 0.5000), Y at (0.0934, 0.5995, 0.0000) and Tl at (0.0922, 0.2415, 0.0000).

As for the density of states at the Fermi level: 31.45 states/eV/cell. Its total energy is -126.9 eV per cell. For the formation enthalpy at 0 K, the calculation gives -6.20 kcal/mol of atoms. For the volume, the calculation gives 850.7 Å³/cell.

11.
First-principles (GGA-PBE) data for a geometry-optimized HfTiCu2H structure, as listed in Alexandria.

The structure belongs to space group P4/mmm (No. 123); the cell edges are 4.8781, 4.8781 and 3.4193 Å and the angles 90.00°, 90.00° and 90.00°. Symmetry generates all atoms from Hf at (0.0000, 0.0000, 0.0000), Ti at (0.5000, 0.5000, 0.5000), Cu at (0.0000, 0.5000, 0.0000) and H at (0.0000, 0.0000, 0.5000).

As for the density of states at the Fermi level: 4.40 states/eV/cell. Its total energy is -26.3 eV per cell. For the volume, the calculation gives 81.4 Å³/cell.

12.
First-principles (GGA-PBE) data for a geometry-optimized BeHg2P structure, as listed in Alexandria.

The structure belongs to space group F-43m (No. 216); the cell edges are 6.7564, 6.7564 and 6.7564 Å and the angles 90.00°, 90.00° and 90.00°. Symmetry generates all atoms from Be at (0.0000, 0.0000, 0.0000), Hg at (0.0000, 0.0000, 0.5000), Hg at (0.2500, 0.2500, 0.7500) and P at (0.2500, 0.2500, 0.2500).

As for the density of states at the Fermi level: 13.66 states/eV/cell. Its total energy is -26.5 eV per cell. Its energy above the most stable polymorph in this dataset is 72.6 kJ per mole of atoms. For the formation enthalpy at 0 K, the calculation gives 17.90 kcal/mol of atoms. For the volume, the calculation gives 308.4 Å³/cell.

> Among the records above, which one has the highest volume?

Rb2Ga17